W4C3O: relaxed, PBE+U.

abc: 2.956 2.956 11.879
angles: 90.00 90.00 120.00
Fractional coordinates of all 8 atoms:
W 0.000 0.000 0.121
W 0.000 0.000 0.361
W 0.000 0.000 0.639
W 0.000 0.000 0.879
C 0.667 0.333 0.000
C 0.667 0.333 0.245
C 0.667 0.333 0.755
O 0.667 0.333 0.500

## Properties
Crystal system: hexagonal
E (eV/atom): -7.35
Space group: P-6m2 (187)